(1)
VASP calculation (GGA-PBE) on ZrTiBi2 after structural relaxation.

Lattice parameters (Å, degrees): 5.159 5.159 3.507 90.00 90.00 90.00
Fractional positions:
Zr 0.000 0.000 0.000
Ti 0.500 0.500 0.000
Bi 0.000 0.500 0.500
Bi 0.500 0.000 0.500

## Properties
Relative energy among the computed polymorphs, meV/atom: 6.1
DOS(E_F), states/eV/f.u.: 4.44
E_form, meV per atom: -75
ρ, Mg/m³: 9.91

(2)
VASP calculation (GGA-PBE) on La5Ho2Tm2 after structural relaxation.

Lattice parameters (Å, degrees): 10.444 10.444 10.444 87.02 103.43 145.06
Fractional positions:
La 0.160 0.487 0.962
La 0.160 0.699 0.173
La 0.200 0.050 0.250
La 0.200 0.450 0.650
La 0.526 0.199 0.038
La 0.526 0.987 0.827
La 0.579 0.500 0.580
La 0.800 0.550 0.350
La 0.800 0.950 0.750
La 0.920 0.000 0.420
Ho 0.795 0.211 0.315
Ho 0.795 0.980 0.084
Ho 0.896 0.480 0.685
Ho 0.896 0.711 0.916
Tm 0.213 0.021 0.692
Tm 0.329 0.521 0.308
Tm 0.406 0.406 0.000
Tm 0.406 0.906 0.500

## Properties
Relative energy among the computed polymorphs, meV/atom: 140.6
DOS(E_F), states/eV/f.u.: 12.47
E_form, meV per atom: 170
ρ, Mg/m³: 7.36

(3)
VASP calculation (GGA-PBE) on PrSmDy2In4 after structural relaxation.

Lattice parameters (Å, degrees): 9.350 9.350 9.350 33.50 33.50 33.50
Fractional positions:
Pr 0.000 0.000 0.000
Sm 0.500 0.500 0.500
Dy 0.250 0.250 0.250
Dy 0.750 0.750 0.750
In 0.126 0.126 0.126
In 0.376 0.376 0.376
In 0.624 0.624 0.624
In 0.874 0.874 0.874

## Properties
DOS(E_F), states/eV/f.u.: 3.64
E_form, meV per atom: -476
ρ, Mg/m³: 8.05

(4)
VASP calculation (GGA-PBE) on ScPaTe4 after structural relaxation.

Lattice parameters (Å, degrees): 8.214 8.214 7.213 115.75 115.75 30.21
Fractional positions:
Sc 0.000 0.000 0.000
Pa 0.500 0.500 0.500
Te 0.124 0.124 0.453
Te 0.381 0.381 0.043
Te 0.619 0.619 0.957
Te 0.876 0.876 0.547

## Properties
ρ, Mg/m³: 5.97
Formation energy (no corrections), eV per atom: -0.97

(5)
VASP calculation (GGA-PBE) on AcAlIr after structural relaxation.

Lattice parameters (Å, degrees): 6.295 6.295 6.016 90.00 90.00 145.05
Fractional positions:
Ac 0.187 0.813 0.750
Ac 0.813 0.187 0.250
Al 0.078 0.922 0.250
Al 0.922 0.078 0.750
Ir 0.500 0.500 0.000
Ir 0.500 0.500 0.500

## Properties
Relative energy among the computed polymorphs, meV/atom: 128.8
DOS(E_F), states/eV/f.u.: 2.32
E_form, meV per atom: -611
ρ, Mg/m³: 10.85

(6)
VASP calculation (GGA-PBE) on LiCaIn5 after structural relaxation.

Lattice parameters (Å, degrees): 4.825 4.825 7.594 90.00 90.00 90.00
Fractional positions:
Li 0.000 0.000 0.000
Ca 0.000 0.000 0.500
In 0.000 0.500 0.206
In 0.000 0.500 0.794
In 0.500 0.000 0.206
In 0.500 0.000 0.794
In 0.500 0.500 0.500

## Properties
Relative energy among the computed polymorphs, meV/atom: 0.0
DOS(E_F), states/eV/f.u.: 3.74
E_form, meV per atom: -233
ρ, Mg/m³: 5.83

(7)
VASP calculation (GGA-PBE) on Sc2SiOs after structural relaxation.

Lattice parameters (Å, degrees): 5.943 5.943 5.943 101.52 101.52 126.91
Fractional positions:
Sc 0.085 0.625 0.960
Sc 0.375 0.335 0.460
Sc 0.665 0.125 0.040
Sc 0.875 0.915 0.540
Si 0.250 0.750 0.500
Si 0.500 0.500 0.000
Os 0.000 0.000 0.000
Os 0.750 0.250 0.500

## Properties
DOS(E_F), states/eV/f.u.: 2.31
ρ, Mg/m³: 6.82
Formation energy (no corrections), eV per atom: 0.11

(8)
VASP calculation (GGA-PBE) on NiPtBr3 after structural relaxation.

Lattice parameters (Å, degrees): 5.143 5.143 5.143 90.00 90.00 90.00
Fractional positions:
Ni 0.000 0.000 0.000
Pt 0.500 0.500 0.500
Br 0.000 0.500 0.500
Br 0.500 0.000 0.500
Br 0.500 0.500 0.000

## Properties
Relative energy among the computed polymorphs, meV/atom: 0.0
DOS(E_F), states/eV/f.u.: 14.88
ρ, Mg/m³: 6.02
Formation energy (no corrections), eV per atom: 0.56